(1)
A plane-wave DFT calculation with PBE-GGA was carried out for crystalline K3RbIr2O8 at its relaxed geometry.

Output
total DFT energy (no corrections) = -5.408 eV per atom
formation energy from raw total energies = -1.0047 eV per atom

The structure in extended XYZ format:
```
14
Lattice="6.3992 0.0000 0.0000 -3.1996 5.5419 0.0000 0.0000 0.0000 8.1826" Properties=species:S:1:pos:R:3 pbc="T T T"
K 0.0000 0.0000 0.0000
K 0.0000 3.6946 5.3554
K 3.1996 1.8473 2.8272
Rb 0.0000 0.0000 4.0913
Ir 0.0000 3.6946 1.5194
Ir 3.1996 1.8473 6.6632
O 0.0000 2.0316 2.3179
O -1.4402 4.5261 2.3179
O 0.0000 3.6946 7.9090
O 1.7594 1.0158 5.8646
O 1.4402 4.5261 2.3179
O 3.1996 1.8473 0.2736
O 4.6398 1.0158 5.8646
O 3.1996 3.5103 5.8646
```


(2)
A plane-wave DFT calculation with PBE-GGA was carried out for crystalline Pm12Ni6Sb at its relaxed geometry.

Output
total DFT energy (no corrections) = -5.389 eV per atom
formation energy from raw total energies = -0.3459 eV per atom

The structure in extended XYZ format:
```
19
Lattice="-5.0012 5.0012 5.0012 5.0012 -5.0012 5.0012 5.0012 5.0012 -5.0012" Properties=species:S:1:pos:R:3 pbc="T T T"
Pm 5.0012 3.1327 -1.9296
Pm 3.0717 0.0000 1.8685
Pm 6.9308 0.0000 1.8685
Pm 1.8685 3.0717 0.0000
Pm 3.1327 -1.9296 5.0012
Pm 0.0000 1.8685 3.0717
Pm 5.0012 3.1327 1.9296
Pm 1.8685 6.9308 0.0000
Pm 3.1327 1.9296 5.0012
Pm -1.9296 5.0012 3.1327
Pm 1.9296 5.0012 3.1327
Pm 0.0000 1.8685 6.9308
Ni 5.0012 1.2183 0.0000
Ni 5.0012 0.0000 3.7829
Ni 3.7829 5.0012 0.0000
Ni 1.2183 0.0000 5.0012
Ni 0.0000 5.0012 1.2183
Ni 0.0000 3.7829 5.0012
Sb 0.0000 0.0000 0.0000
```


(3)
A plane-wave DFT calculation with PBE-GGA was carried out for crystalline PmErMnAg at its relaxed geometry.

Output
DFT formation energy = 0.01 eV/atom
total DFT energy (no corrections) = -5.321 eV per atom

The structure in extended XYZ format:
```
4
Lattice="0.0000 3.6296 3.6296 3.6296 0.0000 3.6296 3.6296 3.6296 0.0000" Properties=species:S:1:pos:R:3 pbc="T T T"
Pm 0.0000 0.0000 0.0000
Er 3.6296 3.6296 3.6296
Mn 1.8148 1.8148 1.8148
Ag 5.4443 5.4443 5.4443
```


(4)
A plane-wave DFT calculation with PBE-GGA was carried out for crystalline SrVAg2 at its relaxed geometry.

Output
energy above the most stable polymorph in this dataset = 236 meV per atom
DFT formation energy = 0.57 eV/atom
total DFT energy (no corrections) = -3.553 eV per atom

The structure in extended XYZ format:
```
8
Lattice="-2.5137 2.5137 9.3263 2.5137 -2.5137 9.3263 2.5137 2.5137 -9.3263" Properties=species:S:1:pos:R:3 pbc="T T T"
Sr 0.0000 0.0000 0.0000
Sr 0.0000 2.5137 4.6631
V 2.5137 0.0000 4.6631
V 0.0000 0.0000 9.3263
Ag 1.2568 -0.5287 6.9947
Ag 1.9849 1.2568 2.3316
Ag 1.2568 3.0424 -2.3316
Ag 0.5287 1.2568 11.6578
```


(5)
A plane-wave DFT calculation with PBE-GGA was carried out for crystalline NdSmCl2 at its relaxed geometry.

Output
energy above the most stable polymorph in this dataset = 14 meV per atom
total DFT energy (no corrections) = -4.634 eV per atom
formation energy from raw total energies = -1.3394 eV per atom

The structure in extended XYZ format:
```
4
Lattice="1.8356 1.0598 9.6787 -1.8356 1.0598 9.6787 0.0000 -2.1196 9.6787" Properties=species:S:1:pos:R:3 pbc="T T T"
Nd 0.0000 0.0000 0.0000
Sm 0.0000 0.0000 14.5180
Cl 0.0000 0.0000 11.7318
Cl 0.0000 0.0000 17.3042
```


(6)
A plane-wave DFT calculation with PBE-GGA was carried out for crystalline TaCr2OsBr at its relaxed geometry.

Output
total DFT energy (no corrections) = -7.574 eV per atom
formation energy from raw total energies = 1.2260 eV per atom

The structure in extended XYZ format:
```
5
Lattice="4.8322 0.0000 0.0000 0.0000 4.8322 0.0000 0.0000 0.0000 4.8778" Properties=species:S:1:pos:R:3 pbc="T T T"
Ta 0.0000 0.0000 0.0000
Cr 0.0000 2.4161 2.4389
Cr 2.4161 0.0000 2.4389
Os 0.0000 0.0000 2.4389
Br 2.4161 2.4161 0.0000
```